# GGA-PBE ErIn2S4, optimized geometry
data_ErIn2S4
_chemical_formula_sum 'Er2 In4 S8'
_space_group_name_H-M_alt 'P 1'
_space_group_IT_number 1
_cell_length_a 12.572
_cell_length_b 4.126
_cell_length_c 7.237
_cell_angle_alpha 90.00
_cell_angle_beta 104.08
_cell_angle_gamma 90.00
loop_
_space_group_symop_operation_xyz
'x,y,z'
loop_
_atom_site_label
_atom_site_type_symbol
_atom_site_fract_x
_atom_site_fract_y
_atom_site_fract_z
_atom_site_occupancy
Er1 Er 0.000 0.000 0.000 1
Er2 Er 0.500 0.500 0.000 1
In1 In 0.131 0.500 0.565 1
In2 In 0.369 0.000 0.435 1
In3 In 0.631 0.000 0.565 1
In4 In 0.869 0.500 0.435 1
S1 S 0.114 0.500 0.899 1
S2 S 0.146 0.000 0.356 1
S3 S 0.354 0.500 0.644 1
S4 S 0.386 0.000 0.101 1
S5 S 0.614 0.000 0.899 1
S6 S 0.646 0.500 0.356 1
S7 S 0.854 0.000 0.644 1
S8 S 0.886 0.500 0.101 1
# Total moment, μB per atom: 0.00
# SG: C2/m
# Energy relative to the elements, uncorrected, meV/atom: -947
# Theoretical density, g/cm³: 4.79